14
Lattice="5.4900 0.0000 0.0000 2.7450 9.7350 0.0116 2.7450 2.2180 9.4790" Properties=species:S:1:pos:R:3 comment="Rb3Tl9Pb2 | Alexandria via LeMat-Bulk | GGA-PBE | optimized geometry" delta_e_f_ev_per_fu=-0.9 dft_energy_ev_per_cell=-32.54 pbc="T T T"
Rb 0.0000 0.0000 0.0000
Rb 5.4900 3.5907 2.8510
Rb 5.4900 8.3623 6.6396
Tl 2.7450 5.9765 4.7453
Tl 8.2351 10.9992 6.5882
Tl 2.7450 0.9538 2.9025
Tl 8.2351 8.9099 9.2196
Tl 2.7450 3.0431 0.2711
Tl 8.2351 9.2600 3.8480
Tl 2.7450 2.6930 5.6427
Tl 8.2351 5.8468 8.1468
Tl 2.7450 6.1062 1.3438
Pb 5.4900 4.5779 6.5068
Pb 5.4900 7.3751 2.9839